Li4Mn3O7 after structural relaxation, computed with PBE with a Hubbard U.

Summary:
As for the space group: P-1. The total energy comes out at -179.4 eV/cell.

Cell: 6.5045 6.5223 6.9834 Å, 73.70 71.14 72.11°
With the nearest neighbours (Å) after each atom.
Fractional positions:
Li (0.0000, 0.0000, 0.0000)  6 O 2.06-2.27
Li (0.0608, 0.7911, 0.6567)  6 O 2.08-2.26
Li (0.2032, 0.3587, 0.9179)  5 O 2.04-2.21
Li (0.3582, 0.9196, 0.2319)  5 O 2.06-2.17
Li (0.5000, 0.5000, 0.5000)  6 O 2.14-2.22
Li (0.6418, 0.0804, 0.7681)  5 O 2.06-2.17
Li (0.7968, 0.6413, 0.0821)  5 O 2.04-2.21
Li (0.9392, 0.2089, 0.3433)  6 O 2.08-2.26
Mn (0.1413, 0.5787, 0.2782)  5 O 1.95-2.18
Mn (0.2834, 0.1396, 0.5783)  6 O 1.92-2.04
Mn (0.4208, 0.7148, 0.8535)  4 O 1.90-2.02
Mn (0.5792, 0.2852, 0.1465)  4 O 1.90-2.02
Mn (0.7166, 0.8604, 0.4217)  6 O 1.92-2.04
Mn (0.8587, 0.4213, 0.7218)  5 O 1.95-2.18
O (0.0235, 0.8776, 0.3324)  2 Mn 1.92-1.96, 2 Li 2.08-2.14
O (0.1250, 0.6746, 0.9575)  1 Mn 1.90, 3 Li 2.04-2.10
O (0.1732, 0.4387, 0.6170)  2 Mn 1.92-1.96, 2 Li 2.08-2.14
O (0.2608, 0.2549, 0.2806)  3 Mn 2.01-2.04, 2 Li 2.09-2.17
O (0.3232, 0.0314, 0.8547)  2 Mn 1.93-1.97, 3 Li 2.06-2.15
O (0.4012, 0.8416, 0.5250)  2 Mn 1.95-1.97, 2 Li 2.06-2.16
O (0.4521, 0.5979, 0.1837)  2 Mn 1.95-2.01, 1 Li 2.09
O (0.5479, 0.4021, 0.8163)  2 Mn 1.95-2.01, 1 Li 2.09
O (0.5988, 0.1584, 0.4750)  2 Mn 1.95-1.97, 2 Li 2.06-2.16
O (0.6768, 0.9686, 0.1453)  2 Mn 1.93-1.97, 3 Li 2.06-2.15
O (0.7392, 0.7451, 0.7194)  3 Mn 2.01-2.04, 2 Li 2.09-2.17
O (0.8268, 0.5613, 0.3830)  2 Mn 1.92-1.96, 2 Li 2.08-2.14
O (0.8750, 0.3254, 0.0425)  1 Mn 1.90, 3 Li 2.04-2.10
O (0.9765, 0.1224, 0.6676)  2 Mn 1.92-1.96, 2 Li 2.08-2.14